Entry 1:
This record from the Alexandria database describes a relaxed structure of SrHfMn2Cu. The functional is GGA-PBE.

a = 4.8944 Å, b = 4.8254 Å, c = 4.8944 Å
α = 90.00°, β = 90.00°, γ = 90.00°
Last column: nearest neighbours and their distance in Å.
Fractional positions:
Sr 0.0000 0.0000 0.0000  2 Cu 2.41, 4 Mn 2.45
Mn 0.0000 0.0000 0.5000  2 Sr 2.45
Mn 0.5000 0.0000 0.0000  2 Sr 2.45
Hf 0.5000 0.5000 0.5000  8 Mn 3.44, 4 Cu 3.46
Cu 0.0000 0.5000 0.0000  2 Sr 2.41

Total magnetization, μB/f.u.: 6.5
Energy of formation from the pure elements, eV/atom: 1.801
DOS(E_F), states/eV per cell: 5.559



Entry 2:
This record from the Alexandria database describes a relaxed structure of HfTaMnCu. The functional is GGA-PBE.

a = 4.4453 Å, b = 4.4453 Å, c = 4.4453 Å
α = 60.00°, β = 60.00°, γ = 60.00°
Last column: nearest neighbours and their distance in Å.
Fractional positions:
Mn 0.2500 0.2500 0.2500  4 Hf 2.72, 4 Ta 2.72
Hf 0.5000 0.5000 0.5000  4 Cu 2.72, 4 Mn 2.72
Cu 0.7500 0.7500 0.7500  4 Hf 2.72, 4 Ta 2.72
Ta 0.0000 0.0000 0.0000  4 Cu 2.72, 4 Mn 2.72

Total magnetization, μB/f.u.: 0.0
Energy of formation from the pure elements, eV/atom: -0.046
DOS(E_F), states/eV per cell: 3.995



Entry 3:
This record from the Alexandria database describes a relaxed structure of HfTiMnCu. The functional is GGA-PBE.

a = 4.4044 Å, b = 4.4044 Å, c = 4.4044 Å
α = 60.00°, β = 60.00°, γ = 60.00°
Last column: nearest neighbours and their distance in Å.
Fractional positions:
Mn 0.5000 0.5000 0.5000  4 Hf 2.70, 4 Ti 2.70
Hf 0.7500 0.7500 0.7500  4 Mn 2.70, 4 Cu 2.70
Cu 0.0000 0.0000 0.0000  4 Hf 2.70, 4 Ti 2.70
Ti 0.2500 0.2500 0.2500  4 Cu 2.70, 4 Mn 2.70

Total magnetization, μB/f.u.: 0.0
Energy of formation from the pure elements, eV/atom: -0.122
DOS(E_F), states/eV per cell: 3.820



Entry 4:
This record from the Alexandria database describes a relaxed structure of HfMnVCu. The functional is GGA-PBE.

a = 4.3561 Å, b = 4.3561 Å, c = 4.3561 Å
α = 60.00°, β = 60.00°, γ = 60.00°
Last column: nearest neighbours and their distance in Å.
Fractional positions:
Mn 0.7500 0.7500 0.7500  4 Hf 2.67, 4 V 2.67
Hf 0.0000 0.0000 0.0000  4 Cu 2.67, 4 Mn 2.67
Cu 0.2500 0.2500 0.2500  4 Hf 2.67, 4 V 2.67
V 0.5000 0.5000 0.5000  4 Mn 2.67, 4 Cu 2.67

Total magnetization, μB/f.u.: 0.7
Energy of formation from the pure elements, eV/atom: 0.014
DOS(E_F), states/eV per cell: 3.326



Entry 5:
This record from the Alexandria database describes a relaxed structure of YHfMn2Cu. The functional is GGA-PBE.

a = 4.7095 Å, b = 4.9193 Å, c = 4.7095 Å
α = 90.00°, β = 90.00°, γ = 90.00°
Last column: nearest neighbours and their distance in Å.
Fractional positions:
Y 0.5000 0.5000 0.5000  4 Cu 3.33, 8 Mn 3.41
Mn 0.0000 0.0000 0.5000  2 Hf 2.35
Mn 0.5000 0.0000 0.0000  2 Hf 2.35
Hf 0.0000 0.0000 0.0000  4 Mn 2.35, 2 Cu 2.46
Cu 0.0000 0.5000 0.0000  2 Hf 2.46

Total magnetization, μB/f.u.: 5.4
Energy of formation from the pure elements, eV/atom: 0.770
DOS(E_F), states/eV per cell: 4.062



Entry 6:
This record from the Alexandria database describes a relaxed structure of HfMn2ZnCu. The functional is GGA-PBE.

a = 4.6742 Å, b = 4.8764 Å, c = 4.6742 Å
α = 90.00°, β = 90.00°, γ = 90.00°
Last column: nearest neighbours and their distance in Å.
Fractional positions:
Zn 0.5000 0.5000 0.5000  4 Cu 3.31, 8 Mn 3.38
Mn 0.0000 0.0000 0.5000  2 Hf 2.34
Mn 0.5000 0.0000 0.0000  2 Hf 2.34
Hf 0.0000 0.0000 0.0000  4 Mn 2.34, 2 Cu 2.44
Cu 0.0000 0.5000 0.0000  2 Hf 2.44

Total magnetization, μB/f.u.: 5.4
Energy of formation from the pure elements, eV/atom: 1.375
DOS(E_F), states/eV per cell: 3.798



Entry 7:
This record from the Alexandria database describes a relaxed structure of Hf3CuMo. The functional is GGA-PBE.

a = 4.9950 Å, b = 4.9950 Å, c = 4.9950 Å
α = 90.00°, β = 90.00°, γ = 90.00°
Last column: nearest neighbours and their distance in Å.
Fractional positions:
Mo 0.0000 0.0000 0.0000  6 Hf 2.50
Hf 0.0000 0.5000 0.0000  2 Mo 2.50
Hf 0.0000 0.0000 0.5000  2 Mo 2.50
Hf 0.5000 0.0000 0.0000  2 Mo 2.50
Cu 0.5000 0.5000 0.5000  12 Hf 3.53

Total magnetization, μB/f.u.: 0.0
Energy of formation from the pure elements, eV/atom: 1.005
Excess energy over the best structure of this formula in the dataset, eV/atom: 0.119
DOS(E_F), states/eV per cell: 4.633



Entry 8:
This record from the Alexandria database describes a relaxed structure of Hf2CuMo. The functional is GGA-PBE.

a = 3.3538 Å, b = 3.3538 Å, c = 6.3287 Å
α = 90.00°, β = 90.00°, γ = 90.00°
Last column: nearest neighbours and their distance in Å.
Fractional positions:
Mo 0.5000 0.5000 0.0000  8 Hf 2.83, 2 Cu 3.16
Hf 0.0000 0.0000 0.7553  4 Mo 2.83, 4 Cu 2.87, 1 Hf 3.10
Hf 0.0000 0.0000 0.2447  4 Mo 2.83, 4 Cu 2.87, 1 Hf 3.10
Cu 0.5000 0.5000 0.5000  8 Hf 2.87, 2 Mo 3.16

Total magnetization, μB/f.u.: 0.0
Energy of formation from the pure elements, eV/atom: -0.151
DOS(E_F), states/eV per cell: 3.393



Entry 9:
This record from the Alexandria database describes a relaxed structure of HfCuMo. The functional is GGA-PBE.

a = 2.9905 Å, b = 4.3208 Å, c = 7.6784 Å
α = 90.00°, β = 91.98°, γ = 90.00°
Last column: nearest neighbours and their distance in Å.
Fractional positions:
Mo 0.3579 0.2500 0.4307  2 Mo 2.54, 1 Cu 2.67
Mo 0.6421 0.7500 0.5693  2 Mo 2.54, 1 Cu 2.67
Hf 0.0106 0.2500 0.7792  6 Cu 2.76-2.87, 3 Mo 2.89-2.90, 2 Hf 2.99
Hf 0.9894 0.7500 0.2208  6 Cu 2.76-2.87, 3 Mo 2.89-2.90, 2 Hf 2.99
Cu 0.5140 0.2500 0.0906  2 Cu 2.57, 1 Mo 2.67, 6 Hf 2.76-2.87
Cu 0.4860 0.7500 0.9094  2 Cu 2.57, 1 Mo 2.67, 6 Hf 2.76-2.87

Total magnetization, μB/f.u.: 0.0
Energy of formation from the pure elements, eV/atom: -0.060
Excess energy over the best structure of this formula in the dataset, eV/atom: 0.109
DOS(E_F), states/eV per cell: 5.156



Entry 10:
This record from the Alexandria database describes a relaxed structure of HfCuMo. The functional is GGA-PBE.

a = 4.3481 Å, b = 13.1739 Å, c = 3.4543 Å
α = 90.00°, β = 90.00°, γ = 90.00°
Last column: nearest neighbours and their distance in Å.
Fractional positions:
Mo 0.0000 0.5793 0.2500  2 Mo 2.71, 2 Cu 2.75, 4 Hf 2.79
Mo 0.0000 0.4207 0.7500  2 Mo 2.71, 2 Cu 2.75, 4 Hf 2.79
Mo 0.5000 0.0793 0.2500  2 Mo 2.71, 2 Cu 2.75, 4 Hf 2.79
Mo 0.5000 0.9207 0.7500  2 Mo 2.71, 2 Cu 2.75, 4 Hf 2.79
Hf 0.0000 0.9020 0.2500  4 Cu 2.72-2.89, 4 Mo 2.79
Hf 0.0000 0.0980 0.7500  4 Cu 2.72-2.89, 4 Mo 2.79
Hf 0.5000 0.4020 0.2500  4 Cu 2.72-2.89, 4 Mo 2.79
Hf 0.5000 0.5980 0.7500  4 Cu 2.72-2.89, 4 Mo 2.79
Cu 0.0000 0.2579 0.2500  4 Hf 2.72-2.89, 2 Mo 2.75, 4 Cu 2.78
Cu 0.0000 0.7421 0.7500  4 Hf 2.72-2.89, 2 Mo 2.75, 4 Cu 2.78
Cu 0.5000 0.7579 0.2500  4 Hf 2.72-2.89, 2 Mo 2.75, 4 Cu 2.78
Cu 0.5000 0.2421 0.7500  4 Hf 2.72-2.89, 2 Mo 2.75, 4 Cu 2.78

Total magnetization, μB/f.u.: 0.0
Energy of formation from the pure elements, eV/atom: 0.009
Excess energy over the best structure of this formula in the dataset, eV/atom: 0.177
DOS(E_F), states/eV per cell: 10.019



Entry 11:
This record from the Alexandria database describes a relaxed structure of Hf2CuMo. The functional is GGA-PBE.

a = 4.0533 Å, b = 4.0533 Å, c = 9.7874 Å
α = 78.05°, β = 78.05°, γ = 90.00°
Last column: nearest neighbours and their distance in Å.
Fractional positions:
Mo 0.0000 0.0000 0.0000  4 Hf 2.74, 4 Cu 2.87
Mo 0.7500 0.2500 0.5000  4 Hf 2.74, 4 Cu 2.87
Hf 0.6289 0.1250 0.2500  2 Mo 2.74, 2 Cu 2.75, 4 Hf 2.84-2.89
Hf 0.1211 0.6250 0.2500  2 Mo 2.74, 2 Cu 2.75, 4 Hf 2.84-2.89
Hf 0.3750 0.3711 0.7500  2 Mo 2.74, 2 Cu 2.75, 4 Hf 2.84-2.89
Hf 0.8750 0.8789 0.7500  2 Mo 2.74, 2 Cu 2.75, 4 Hf 2.84-2.89
Cu 0.5000 0.5000 0.0000  4 Hf 2.75, 4 Mo 2.87
Cu 0.2500 0.7500 0.5000  4 Hf 2.75, 4 Mo 2.87

Total magnetization, μB/f.u.: 0.0
Energy of formation from the pure elements, eV/atom: 0.665
DOS(E_F), states/eV per cell: 10.807



Entry 12:
This record from the Alexandria database describes a relaxed structure of Hf2Cu2Mo. The functional is GGA-PBE.

a = 7.3280 Å, b = 7.3280 Å, c = 3.1203 Å
α = 90.00°, β = 90.00°, γ = 90.00°
Last column: nearest neighbours and their distance in Å.
Fractional positions:
Mo 0.0000 0.0000 0.0000  4 Cu 2.93, 8 Hf 3.10, 2 Mo 3.12
Mo 0.5000 0.5000 0.0000  4 Cu 2.93, 8 Hf 3.10, 2 Mo 3.12
Hf 0.1825 0.6825 0.5000  6 Cu 2.60-2.74
Hf 0.6825 0.8175 0.5000  6 Cu 2.60-2.74
Hf 0.8175 0.3175 0.5000  6 Cu 2.60-2.74
Hf 0.3175 0.1825 0.5000  6 Cu 2.60-2.74
Cu 0.3828 0.8828 0.0000  1 Cu 2.43, 2 Hf 2.60
Cu 0.8828 0.6172 0.0000  1 Cu 2.43, 2 Hf 2.60
Cu 0.6172 0.1172 0.0000  1 Cu 2.43, 2 Hf 2.60
Cu 0.1172 0.3828 0.0000  1 Cu 2.43, 2 Hf 2.60

Total magnetization, μB/f.u.: 0.0
Energy of formation from the pure elements, eV/atom: 0.052
DOS(E_F), states/eV per cell: 12.640